Record 1
# PmHgPd4, relaxed, DFT PBE
# ΔE_f	-0.632	eV per atom
# E_tot	-118.1	eV/cell
data_PmHgPd4
_cell_length_a 7.638
_cell_length_b 7.638
_cell_length_c 7.638
_cell_angle_alpha 90.00
_cell_angle_beta 90.00
_cell_angle_gamma 90.00
_symmetry_space_group_name_H-M 'F -4 3 m'
_symmetry_Int_Tables_number 216
_symmetry_space_group_name_Hall 'F -4 2 3'
loop_
_atom_site_label
_atom_site_fract_x
_atom_site_fract_y
_atom_site_fract_z
Pm1 0.000 0.000 0.000
Hg1 0.250 0.250 0.250
Pd1 0.125 0.125 0.625

Record 2
# PmHg2Pd, relaxed, DFT PBE
# ΔE_f	-0.540	eV per atom
# E_tot	-50.7	eV/cell
data_PmHg2Pd
_cell_length_a 4.193
_cell_length_b 10.198
_cell_length_c 8.532
_cell_angle_alpha 90.00
_cell_angle_beta 90.00
_cell_angle_gamma 90.00
_symmetry_space_group_name_H-M 'C m c m'
_symmetry_Int_Tables_number 63
_symmetry_space_group_name_Hall '-C 2c 2'
loop_
_atom_site_label
_atom_site_fract_x
_atom_site_fract_y
_atom_site_fract_z
Pm1 0.000 0.068 0.250
Hg1 0.000 0.361 0.046
Pd1 0.000 0.224 0.750

Record 3
# PrHg5Pd, relaxed, DFT PBE
# ΔE_f	-0.313	eV per atom
# E_tot	-13.6	eV/cell
data_PrHg5Pd
_cell_length_a 4.900
_cell_length_b 4.900
_cell_length_c 7.304
_cell_angle_alpha 90.00
_cell_angle_beta 90.00
_cell_angle_gamma 90.00
_symmetry_space_group_name_H-M 'P 4/m m m'
_symmetry_Int_Tables_number 123
_symmetry_space_group_name_Hall '-P 4 2'
loop_
_atom_site_label
_atom_site_fract_x
_atom_site_fract_y
_atom_site_fract_z
Pr1 0.000 0.000 0.000
Hg1 0.000 0.500 0.296
Hg2 0.500 0.500 0.000
Pd1 0.000 0.000 0.500

Record 4
# Pr3Hg3Pd2Pt, relaxed, DFT PBE
# ΔE_f	-0.707	eV per atom
# E_tot	-38.0	eV/cell
data_Pr3Hg3Pd2Pt
_cell_length_a 7.7968
_cell_length_b 7.7968
_cell_length_c 4.0525
_cell_angle_alpha 90.00
_cell_angle_beta 90.00
_cell_angle_gamma 120.00
_symmetry_space_group_name_H-M 'P -6 2 m'
_symmetry_Int_Tables_number 189
_symmetry_space_group_name_Hall 'P -6 -2'
loop_
_atom_site_label
_atom_site_fract_x
_atom_site_fract_y
_atom_site_fract_z
Pr1 0.0000 0.3968 0.0000
Hg1 0.0000 0.7366 0.5000
Pd1 0.3333 0.6667 0.5000
Pt1 0.0000 0.0000 0.0000

Record 5
# Pr3Hg3PdPt2, relaxed, DFT PBE
# ΔE_f	-0.795	eV per atom
# E_tot	-39.7	eV/cell
data_Pr3Hg3PdPt2
_cell_length_a 7.8971
_cell_length_b 7.8971
_cell_length_c 3.9447
_cell_angle_alpha 90.00
_cell_angle_beta 90.00
_cell_angle_gamma 120.00
_symmetry_space_group_name_H-M 'P -6 2 m'
_symmetry_Int_Tables_number 189
_symmetry_space_group_name_Hall 'P -6 -2'
loop_
_atom_site_label
_atom_site_fract_x
_atom_site_fract_y
_atom_site_fract_z
Pr1 0.0000 0.4040 0.0000
Hg1 0.0000 0.7407 0.5000
Pd1 0.0000 0.0000 0.0000
Pt1 0.3333 0.6667 0.5000

Record 6
# HgPd2Pt, relaxed, DFT PBE
# ΔE_f	-0.025	eV per atom
# E_tot	-67.2	eV/cell
data_HgPd2Pt
_cell_length_a 6.445
_cell_length_b 6.445
_cell_length_c 6.445
_cell_angle_alpha 90.00
_cell_angle_beta 90.00
_cell_angle_gamma 90.00
_symmetry_space_group_name_H-M 'F -4 3 m'
_symmetry_Int_Tables_number 216
_symmetry_space_group_name_Hall 'F -4 2 3'
loop_
_atom_site_label
_atom_site_fract_x
_atom_site_fract_y
_atom_site_fract_z
Hg1 0.000 0.000 0.000
Pd1 0.000 0.000 0.500
Pd2 0.250 0.250 0.250
Pt1 0.250 0.250 0.750

Record 7
# HgPdPt2S6, relaxed, DFT PBE
# E_tot	-88.5	eV/cell
data_HgPdPt2S6
_cell_length_a 8.735
_cell_length_b 12.125
_cell_length_c 3.688
_cell_angle_alpha 90.00
_cell_angle_beta 90.00
_cell_angle_gamma 90.00
_symmetry_space_group_name_H-M 'C m m m'
_symmetry_Int_Tables_number 65
_symmetry_space_group_name_Hall '-C 2 2'
loop_
_atom_site_label
_atom_site_fract_x
_atom_site_fract_y
_atom_site_fract_z
Hg1 0.000 0.000 0.000
Pd1 0.000 0.500 0.000
Pt1 0.250 0.250 0.500
S1 0.000 0.166 0.500
S2 0.203 0.373 0.000

Record 8
# Pu2HgPd2, relaxed, DFT PBE
# ΔE_f	-0.499	eV per atom
# E_tot	-82.8	eV/cell
data_Pu2HgPd2
_cell_length_a 7.649
_cell_length_b 7.649
_cell_length_c 3.881
_cell_angle_alpha 90.00
_cell_angle_beta 90.00
_cell_angle_gamma 90.00
_symmetry_space_group_name_H-M 'P 4/m b m'
_symmetry_Int_Tables_number 127
_symmetry_space_group_name_Hall '-P 4 2ab'
loop_
_atom_site_label
_atom_site_fract_x
_atom_site_fract_y
_atom_site_fract_z
Pu1 0.172 0.328 0.000
Hg1 0.000 0.000 0.500
Pd1 0.130 0.630 0.500

What did the eighth record say?
# Pu2HgPd2, relaxed, DFT PBE
# ΔE_f	-0.499	eV per atom
# E_tot	-82.8	eV/cell
data_Pu2HgPd2
_cell_length_a 7.649
_cell_length_b 7.649
_cell_length_c 3.881
_cell_angle_alpha 90.00
_cell_angle_beta 90.00
_cell_angle_gamma 90.00
_symmetry_space_group_name_H-M 'P 4/m b m'
_symmetry_Int_Tables_number 127
_symmetry_space_group_name_Hall '-P 4 2ab'
loop_
_atom_site_label
_atom_site_fract_x
_atom_site_fract_y
_atom_site_fract_z
Pu1 0.172 0.328 0.000
Hg1 0.000 0.000 0.500
Pd1 0.130 0.630 0.500